TlCuOs2, optimized geometry, DFT PBE-GGA; electronic total energy = -24.54 eV/cell
1.0
0.000 3.162 3.162
3.162 0.000 3.162
3.162 3.162 0.000
Tl Cu Os
1 1 2
direct
0.000 0.000 0.000 Tl
0.500 0.500 0.500 Cu
0.250 0.250 0.250 Os
0.750 0.750 0.750 Os